Entry from Alexandria: a geometry-optimized CuSn2B2Rh5 structure (PBE-GGA).

Output
Its energy of formation is -0.242 eV/atom.

The structure in POSCAR format:
```
CuSn2B2Rh5
1.0
9.471 0.000 0.000
0.000 9.471 0.000
0.000 0.000 3.065
Cu Sn B Rh
2 4 4 10
Cartesian
0.000 0.000 0.000 Cu
4.735 4.735 0.000 Cu
1.684 3.051 0.000 Sn
3.051 7.787 0.000 Sn
6.420 1.684 0.000 Sn
7.787 6.420 0.000 Sn
1.200 5.936 0.000 B
3.535 1.200 0.000 B
5.936 8.270 0.000 B
8.270 3.535 0.000 B
0.000 4.735 1.533 Rh
0.673 7.401 1.533 Rh
2.070 0.673 1.533 Rh
2.666 5.408 1.533 Rh
4.063 2.666 1.533 Rh
4.735 0.000 1.533 Rh
5.408 6.805 1.533 Rh
6.805 4.063 1.533 Rh
7.401 8.798 1.533 Rh
8.798 2.070 1.533 Rh
```

---

Entry from Alexandria: a geometry-optimized Mg2TaW2 structure (PBE-GGA).

Output
The polymorph energy (0 for the lowest one) is 6 meV/atom. Its energy of formation is 0.810 eV/atom.

The structure in POSCAR format:
```
Mg2TaW2
1.0
7.993 0.000 0.000
0.000 7.993 0.000
0.000 0.000 2.820
Mg Ta W
4 2 4
Cartesian
1.470 2.527 0.000 Mg
2.527 6.523 0.000 Mg
5.466 1.470 0.000 Mg
6.523 5.466 0.000 Mg
0.000 0.000 1.410 Ta
3.996 3.996 1.410 Ta
0.892 4.888 1.410 W
3.104 0.892 1.410 W
4.888 7.101 1.410 W
7.101 3.104 1.410 W
```

---

Entry from Alexandria: a geometry-optimized Na2La structure (PBE-GGA).

Output
The polymorph energy (0 for the lowest one) is 0 meV/atom. Its energy of formation is 0.096 eV/atom.

The structure in POSCAR format:
```
Na2La
1.0
3.613 0.000 0.000
1.791 3.143 0.000
1.762 1.055 9.609
Na La
2 1
Cartesian
1.820 1.059 3.173 Na
5.347 3.139 6.436 Na
0.000 0.000 0.000 La
```

---

Entry from Alexandria: a geometry-optimized HgRu3C structure (PBE-GGA).

Output
The polymorph energy (0 for the lowest one) is 0 meV/atom. Its energy of formation is 0.403 eV/atom.

The structure in POSCAR format:
```
HgRu3C
1.0
4.119 0.000 0.000
0.000 4.119 0.000
0.000 0.000 4.119
Hg Ru C
1 3 1
Cartesian
0.000 0.000 0.000 Hg
0.000 2.059 2.059 Ru
2.059 0.000 2.059 Ru
2.059 2.059 0.000 Ru
2.059 2.059 2.059 C
```

---

Entry from Alexandria: a geometry-optimized BeBiHPb structure (PBE-GGA).

Output
The polymorph energy (0 for the lowest one) is 44 meV/atom.

The structure in POSCAR format:
```
BeBiHPb
1.0
4.318 0.000 0.000
2.154 3.746 0.000
2.115 1.240 5.520
Be Bi H Pb
1 1 1 1
Cartesian
0.000 0.000 0.000 Be
4.275 2.492 4.633 Bi
6.460 3.739 1.434 H
2.102 1.238 2.490 Pb
```

---

Entry from Alexandria: a geometry-optimized Zr3ScOs structure (PBE-GGA).

Output
The polymorph energy (0 for the lowest one) is 0 meV/atom. Its energy of formation is -0.195 eV/atom.

The structure in POSCAR format:
```
Zr3ScOs
1.0
5.691 -1.647 0.000
5.691 1.647 0.000
-0.436 0.000 11.236
Zr Sc Os
6 2 2
Cartesian
0.323 0.000 2.113 Zr
1.363 0.000 5.157 Zr
4.102 0.000 0.317 Zr
6.843 0.000 10.919 Zr
9.582 0.000 6.079 Zr
10.622 0.000 9.123 Zr
2.308 0.000 8.324 Sc
8.637 0.000 2.912 Sc
4.953 0.000 4.055 Os
5.993 0.000 7.181 Os
```

---

Record-wise final energy values, in eV per cell: -129.27; -73.79; -7.28; -35.34; -13.62; -88.36